[1]
The following is a DFT calculation (PBE-GGA) of a geometry-optimized PmPrHo5Er2 structure.

Structure (POSCAR):
```
PmPrHo5Er2
1.0
-4.446 4.446 7.395
4.446 -4.446 7.395
4.446 4.446 -7.395
Pm Pr Ho Er
2 2 10 4
Cartesian
0.000 0.000 3.697
0.000 0.000 11.092
4.446 0.000 3.697
0.000 4.446 3.697
0.000 0.000 0.000
6.241 1.795 -1.935
1.795 2.651 -1.935
6.241 1.795 1.935
1.795 2.651 1.935
0.000 0.000 7.395
2.651 1.795 5.460
-1.795 2.651 5.460
2.651 1.795 9.330
-1.795 2.651 9.330
3.433 1.012 0.000
3.433 -1.012 7.395
1.012 5.458 0.000
1.012 3.433 7.395
```

Computed properties:
Formation energy, eV per atom: 0.286

=====

[2]
The following is a DFT calculation (PBE-GGA) of a geometry-optimized BaCdSb3 structure.

Structure (POSCAR):
```
BaCdSb3
1.0
5.629 0.000 0.000
0.000 5.629 0.000
0.000 0.000 5.629
Ba Cd Sb
1 1 3
Cartesian
0.000 0.000 0.000
2.815 2.815 2.815
0.000 2.815 2.815
2.815 0.000 2.815
2.815 2.815 0.000
```

Computed properties:
E above lowest polymorph, eV/atom: 0.321
Formation energy without anion corrections, eV/atom: -0.04

=====

[3]
The following is a DFT calculation (PBE-GGA) of a geometry-optimized HAuCBr2 structure.

Structure (POSCAR):
```
HAuCBr2
1.0
5.143 0.000 0.000
0.000 5.143 0.000
0.000 0.000 3.524
H Au C Br
1 1 1 2
Cartesian
0.000 0.000 0.000
0.000 0.000 1.762
2.572 2.572 1.762
0.000 2.572 0.000
2.572 0.000 0.000
```

Computed properties:
Total DFT energy (no corrections), Ry per atom: -0.1576

=====

[4]
The following is a DFT calculation (PBE-GGA) of a geometry-optimized SnHIF2 structure.

Structure (POSCAR):
```
SnHIF2
1.0
6.647 0.000 0.000
0.000 4.243 0.000
-1.694 0.000 9.041
Sn H I F
2 2 2 4
Cartesian
1.361 1.061 1.164
3.591 3.182 7.877
0.240 3.182 7.508
4.712 1.061 1.533
0.758 3.182 3.198
4.195 1.061 5.843
-0.876 3.182 8.417
1.058 3.182 6.944
3.894 1.061 2.097
5.828 1.061 0.624
```

Computed properties:
Total DFT energy (no corrections), Ry per atom: -0.2918

=====

[5]
The following is a DFT calculation (PBE-GGA) of a geometry-optimized NaUSbO5 structure.

Structure (POSCAR):
```
NaUSbO5
1.0
4.151 -4.655 0.000
4.151 4.655 0.000
-3.924 0.000 7.396
Na U Sb O
2 2 2 10
Cartesian
1.208 4.043 5.547
3.170 -4.043 1.849
2.075 2.327 0.000
0.113 -2.327 3.698
1.208 0.699 5.547
3.170 -0.699 1.849
0.029 2.113 6.289
1.919 0.351 0.063
3.170 2.299 1.849
-0.043 -0.351 3.761
2.387 2.113 4.805
1.991 -2.113 2.591
4.420 0.351 3.635
1.208 -2.299 5.547
2.458 -0.351 7.333
4.349 -2.113 1.107
```

Computed properties:
Formation energy without anion corrections, eV/atom: -2.27

=====

[6]
The following is a DFT calculation (PBE-GGA) of a geometry-optimized Cs3Pa3CoS8 structure.

Structure (POSCAR):
```
Cs3Pa3CoS8
1.0
6.858 -3.968 0.000
6.858 3.968 0.000
-4.560 0.000 8.261
Cs Pa Co S
3 3 1 8
Cartesian
0.000 0.000 0.000
3.429 1.984 0.000
3.429 -1.984 0.000
1.149 1.984 4.130
1.149 -1.984 4.130
4.577 0.000 4.130
-2.280 0.000 4.130
-0.049 0.000 5.556
3.458 2.020 5.565
5.697 2.020 2.695
2.289 0.000 2.587
6.866 0.000 5.674
3.458 -2.020 5.565
5.697 -2.020 2.695
9.204 0.000 2.705
```

Computed properties:
Formation energy without anion corrections, eV/atom: -1.29

=====

[7]
The following is a DFT calculation (PBE-GGA) of a geometry-optimized PmEuCuRh structure.

Structure (POSCAR):
```
PmEuCuRh
1.0
7.093 0.000 0.000
0.000 7.093 0.000
0.000 0.000 7.093
Pm Eu Cu Rh
4 4 4 4
Cartesian
0.000 0.000 0.000
0.000 3.546 3.546
3.546 0.000 3.546
3.546 3.546 0.000
0.000 0.000 3.546
0.000 3.546 0.000
3.546 0.000 0.000
3.546 3.546 3.546
1.773 1.773 5.319
1.773 5.319 1.773
5.319 1.773 1.773
5.319 5.319 5.319
1.773 1.773 1.773
1.773 5.319 5.319
5.319 1.773 5.319
5.319 5.319 1.773
```

Computed properties:
Formation energy, eV per atom: -0.354

=====

[8]
The following is a DFT calculation (PBE-GGA) of a geometry-optimized MgZnNi3 structure.

Structure (POSCAR):
```
MgZnNi3
1.0
4.347 0.000 0.000
0.000 4.347 0.000
0.000 0.000 4.347
Mg Zn Ni
1 1 3
Cartesian
0.000 0.000 0.000
2.173 2.173 2.173
0.000 2.173 2.173
2.173 0.000 2.173
2.173 2.173 0.000
```

Computed properties:
Formation energy, eV per atom: 0.567
E above lowest polymorph, eV/atom: 0.646